## ReTc2Rh2 (PBE-GGA)

Data for a relaxed structure of ReTc2Rh2.

Cell: 7.376 7.376 2.738 Å, 90.00 90.00 90.00°
Fractional coordinates of all 10 atoms:
Re 0.000 0.000 0.000
Re 0.500 0.500 0.000
Rh 0.377 0.877 0.000
Rh 0.877 0.623 0.000
Rh 0.623 0.123 0.000
Rh 0.123 0.377 0.000
Tc 0.175 0.675 0.500
Tc 0.675 0.825 0.500
Tc 0.825 0.325 0.500
Tc 0.325 0.175 0.500

Calculated values
Energy relative to the elements   0.24 eV per atom
Volume   14.9 Å³/atom
Offset from the most stable computed form   370 meV/atom
Energy   -0.3430 Ha/atom

=====

## EuAgO2 (PBE-GGA)

Data for a relaxed structure of EuAgO2.

Cell: 3.670 3.670 6.566 Å, 74.07 74.07 60.04°
Last column: magnetic moment on the atom in μB.
Fractional coordinates of all 4 atoms:
Eu 0.500 0.500 0.500  6.29
Ag 0.000 0.000 0.000  -0.05
O 0.111 0.111 0.669  -0.14
O 0.889 0.889 0.331  -0.14

Calculated values
ΔE_f (raw)   -7.1 eV/f.u.
Volume   18.2 Å³/atom
Energy   -0.2766 Ha/atom

=====

## Cs2AlRuO (PBE-GGA)

Data for a relaxed structure of Cs2AlRuO.

Cell: 7.103 3.694 7.103 Å, 90.00 90.00 90.00°
Fractional coordinates of all 5 atoms:
Cs 0.000 0.000 0.500
Cs 0.500 0.000 0.000
Ru 0.000 0.000 0.000
Al 0.500 0.500 0.500
O 0.000 0.500 0.000

Calculated values
ΔE_f (raw)   1.2 eV/f.u.
Volume   37.3 Å³/atom
Energy   -0.1358 Ha/atom

=====

## CdTcAs2H (PBE-GGA)

Data for a relaxed structure of CdTcAs2H.

Cell: 5.133 5.372 5.133 Å, 90.00 90.00 90.00°
Last column: magnetic moment on the atom in μB.
Fractional coordinates of all 5 atoms:
H 0.500 0.500 0.500  0.31
As 0.000 0.000 0.500  -0.07
As 0.500 0.000 0.000  -0.11
Tc 0.000 0.500 0.000  3.45
Cd 0.000 0.000 0.000  0.00

Calculated values
Volume   28.3 Å³/atom
Energy   -0.1064 Ha/atom

=====

## Cd2Ag5Hg (PBE-GGA)

Data for a relaxed structure of Cd2Ag5Hg.

Cell: 4.704 9.675 7.548 Å, 89.15 108.16 90.00°
Fractional coordinates of all 16 atoms:
Cd 0.170 0.469 0.838
Cd 0.668 0.969 0.838
Cd 0.830 0.531 0.162
Cd 0.332 0.031 0.162
Ag 0.657 0.676 0.810
Ag 0.252 0.750 0.000
Ag 0.748 0.250 0.000
Ag 0.033 0.685 0.565
Ag 0.967 0.315 0.435
Ag 0.532 0.185 0.565
Ag 0.468 0.815 0.435
Ag 0.343 0.324 0.190
Ag 0.154 0.176 0.810
Ag 0.846 0.824 0.190
Hg 0.000 0.000 0.500
Hg 0.500 0.500 0.500

Calculated values
Energy relative to the elements   0.04 eV per atom
Volume   20.4 Å³/atom
Offset from the most stable computed form   52 meV/atom
Energy   -0.0740 Ha/atom

=====

## Ca11Ag4Pb9 (PBE-GGA)

Data for a relaxed structure of Ca11Ag4Pb9.

Cell: 4.041 13.579 13.579 Å, 112.70 90.00 90.00°
Fractional coordinates of all 24 atoms:
Ca 0.000 0.588 0.930
Ca 0.000 0.412 0.070
Ca 0.000 0.930 0.588
Ca 0.000 0.070 0.412
Ca 0.000 0.635 0.365
Ca 0.000 0.365 0.635
Ca 0.000 0.837 0.163
Ca 0.000 0.163 0.837
Ca 0.000 0.000 0.000
Ca 0.000 0.702 0.702
Ca 0.000 0.298 0.298
Ag 0.500 0.550 0.749
Ag 0.500 0.450 0.251
Ag 0.500 0.749 0.550
Ag 0.500 0.251 0.450
Pb 0.500 0.629 0.151
Pb 0.500 0.371 0.849
Pb 0.500 0.151 0.629
Pb 0.500 0.849 0.371
Pb 0.500 0.786 0.931
Pb 0.500 0.214 0.069
Pb 0.500 0.931 0.786
Pb 0.500 0.069 0.214
Pb 0.500 0.500 0.500

Calculated values
Energy relative to the elements   -0.45 eV per atom
Volume   28.6 Å³/atom
Energy   -0.1188 Ha/atom

=====

## GaAg5 (PBE-GGA)

Data for a relaxed structure of GaAg5.

Cell: 5.045 5.779 8.894 Å, 90.00 90.00 125.26°
Fractional coordinates of all 12 atoms:
Ga 0.750 0.500 0.250
Ga 0.250 0.500 0.750
Ag 0.750 0.001 0.250
Ag 0.250 0.999 0.750
Ag 0.250 0.000 0.414
Ag 0.750 0.000 0.914
Ag 0.750 0.000 0.586
Ag 0.250 0.000 0.086
Ag 0.250 0.500 0.416
Ag 0.750 0.500 0.916
Ag 0.750 0.500 0.584
Ag 0.250 0.500 0.084

Calculated values
Energy relative to the elements   0.00 eV per atom
Volume   17.6 Å³/atom
Offset from the most stable computed form   0 meV/atom
Energy   -0.1059 Ha/atom

=====

## AgAsIr2 (PBE-GGA)

Data for a relaxed structure of AgAsIr2.

Cell: 7.133 7.133 5.707 Å, 51.32 51.32 90.00°
Fractional coordinates of all 8 atoms:
As 0.500 0.500 0.000
As 0.250 0.750 0.500
Ir 0.574 0.125 0.250
Ir 0.176 0.625 0.250
Ir 0.375 0.426 0.750
Ir 0.875 0.824 0.750
Ag 0.000 0.000 0.000
Ag 0.750 0.250 0.500

Calculated values
Energy relative to the elements   0.36 eV per atom
Volume   17.0 Å³/atom
Energy   -0.2186 Ha/atom

=====

## Nd4TlAg5 (PBE-GGA)

Data for a relaxed structure of Nd4TlAg5.

Cell: 3.793 3.793 17.947 Å, 90.00 90.00 90.00°
Fractional coordinates of all 10 atoms:
Nd 0.000 0.000 0.190
Nd 0.000 0.000 0.396
Nd 0.000 0.000 0.604
Nd 0.000 0.000 0.810
Tl 0.000 0.000 0.000
Ag 0.500 0.500 0.094
Ag 0.500 0.500 0.292
Ag 0.500 0.500 0.500
Ag 0.500 0.500 0.708
Ag 0.500 0.500 0.906

Calculated values
Energy relative to the elements   -0.20 eV per atom
Volume   25.8 Å³/atom
Energy   -0.1386 Ha/atom

=====

## Mg8Al2Zn (PBE-GGA)

Data for a relaxed structure of Mg8Al2Zn.

Cell: 4.797 6.873 8.170 Å, 114.66 107.07 90.00°
Fractional coordinates of all 11 atoms:
Mg 0.357 0.584 0.715
Mg 0.648 0.881 0.295
Mg 0.827 0.822 0.655
Mg 0.998 0.268 0.996
Mg 0.173 0.178 0.345
Mg 0.352 0.119 0.705
Mg 0.643 0.416 0.285
Mg 0.002 0.732 0.004
Al 0.816 0.319 0.632
Al 0.184 0.681 0.368
Zn 0.500 0.000 0.000

Calculated values
Energy relative to the elements   0.01 eV per atom
Volume   21.1 Å³/atom
Offset from the most stable computed form   0 meV/atom
Energy   -0.0716 Ha/atom

=====

## HoCo4Si4 (PBE-GGA)

Data for a relaxed structure of HoCo4Si4.

Cell: 5.577 5.577 7.726 Å, 90.00 90.00 90.00°
Fractional coordinates of all 18 atoms:
Ho 0.000 0.000 0.000
Ho 0.500 0.500 0.500
Co 0.233 0.500 0.886
Co 0.767 0.500 0.886
Co 0.500 0.767 0.114
Co 0.500 0.233 0.114
Co 0.000 0.733 0.386
Co 0.000 0.267 0.386
Co 0.267 0.000 0.614
Co 0.733 0.000 0.614
Si 0.500 0.791 0.818
Si 0.500 0.209 0.818
Si 0.791 0.500 0.182
Si 0.209 0.500 0.182
Si 0.291 0.000 0.318
Si 0.709 0.000 0.318
Si 0.000 0.291 0.682
Si 0.000 0.709 0.682

Calculated values
ΔE_f (raw)   -5.2 eV/f.u.
Volume   13.4 Å³/atom
Energy   -0.2446 Ha/atom

=====

## InNiSb2Os (PBE-GGA)

Data for a relaxed structure of InNiSb2Os.

Cell: 5.081 5.160 5.081 Å, 90.00 90.00 90.00°
Fractional coordinates of all 5 atoms:
Ni 0.500 0.500 0.500
Sb 0.000 0.000 0.500
Sb 0.500 0.000 0.000
Os 0.000 0.000 0.000
In 0.000 0.500 0.000

Calculated values
ΔE_f (raw)   4.4 eV/f.u.
Volume   26.6 Å³/atom
Energy   -0.1733 Ha/atom